Entry 1:
DFT (GGA-PBE) results for an optimized crystal structure of Be2Al2Rh.

The structure in POSCAR format:
```
Be2Al2Rh
1.0
-2.0791 -2.2847 1.7210
2.4195 -0.2698 2.5647
-2.0595 2.6472 4.6591
Rh Be Al
1 2 2
Cartesian
0.0000 0.0000 0.0000
-1.4660 0.6250 6.3243
-0.2531 -0.5323 2.6205
0.2651 0.5501 4.6833
-1.9842 -0.4574 4.2615
```

The calculation puts the calculated density at 4.49 g/cm3. Its total energy is -21.38 eV for the cell shown. The total magnetic moment is 0.000 μB/f.u. The formation energy is 0.9 eV per formula unit.


Entry 2:
DFT (GGA-PBE) results for an optimized crystal structure of La2ZrAl.

The structure in POSCAR format:
```
La2ZrAl
1.0
-2.5818 9.1830 -5.6437
-5.5982 7.4857 -5.9557
-4.9673 9.4020 -3.1261
La Zr Al
2 1 1
Cartesian
-0.0323 0.0640 -0.0362
-6.5413 12.9713 -7.3266
-3.2868 6.5177 -3.6814
-9.8604 19.5530 -11.0441
```

The calculation puts the calculated density at 5.77 g/cm3. Its total energy is -21.60 eV for the cell shown. The total magnetic moment is 0.000 μB/f.u. The formation energy is 0.5 eV per formula unit.


Entry 3:
DFT (GGA-PBE) results for an optimized crystal structure of Mn2CoOs.

The structure in POSCAR format:
```
Mn2CoOs
1.0
-1.1070 -1.7100 3.8985
1.0858 -2.8465 3.1727
2.2778 2.7111 2.6365
Mn Os Co
2 1 1
Cartesian
1.0937 -0.9744 4.8302
0.0135 -4.5049 7.0950
1.6925 -1.3841 7.2808
0.5642 -0.4614 2.4269
```

The calculation puts the calculated density at 12.65 g/cm3. Its total energy is -36.30 eV for the cell shown. The total magnetic moment is 2.114 μB/f.u. The formation energy is 0.4 eV per formula unit.


Entry 4:
DFT (GGA-PBE) results for an optimized crystal structure of Fe2NiAsH.

The structure in POSCAR format:
```
Fe2NiAsH
1.0
-2.9755 -1.1205 -1.8310
-1.0798 -1.9235 2.9319
-1.7705 2.7832 1.1739
Ni Fe As H
1 2 1 1
Cartesian
-0.8852 1.3916 0.5870
-1.4877 -0.5603 -0.9155
-0.5399 -0.9618 1.4659
-2.9129 -0.1304 1.1374
0.0000 0.0000 0.0000
```

The calculation puts the calculated density at 8.68 g/cm3. Its total energy is -30.59 eV for the cell shown. The total magnetic moment is 0.000 μB/f.u.


Entry 5:
DFT (GGA-PBE) results for an optimized crystal structure of LaPW2.

The structure in POSCAR format:
```
LaPW2
1.0
4.3858 0.0000 0.0000
0.0000 4.3858 0.0000
2.1929 2.1929 8.9394
La P W
2 2 4
Cartesian
0.0000 0.0000 0.0000
4.3858 2.1929 4.4697
2.1929 2.1929 0.0000
2.1929 4.3858 4.4697
3.2894 5.0079 6.7045
2.8150 3.2894 2.2348
5.4823 3.7637 6.7045
1.5708 1.0965 2.2348
```

The calculation puts the calculated density at 10.38 g/cm3. Its total energy is -69.09 eV for the cell shown. The total magnetic moment is 0.000 μB/f.u. The formation energy is 1.7 eV per formula unit.


Entry 6:
DFT (GGA-PBE) results for an optimized crystal structure of Pu2ZnB3Pt12.

The structure in POSCAR format:
```
Pu2ZnB3Pt12
1.0
7.2764 -0.3715 -0.2635
3.2704 6.5106 -0.2635
3.2704 1.9036 6.2317
B Pu Pt Zn
3 2 12 1
Cartesian
3.6382 -0.1858 -0.1318
1.6352 3.2553 -0.1318
1.6352 0.9518 3.1159
5.4559 3.1758 2.2525
8.3613 4.8670 3.4521
7.4000 4.3074 0.2118
8.4937 7.1859 5.0969
6.4172 3.7353 5.4928
6.4172 6.4188 1.7094
3.3741 1.9640 3.7685
8.7506 2.4101 1.7094
5.3235 0.8568 0.6077
10.4431 3.8369 5.0969
5.0666 5.6327 3.9952
10.4431 6.0788 1.9361
7.4000 1.6239 3.9952
3.3741 4.2059 0.6077
0.0000 0.0000 0.0000
```

The calculation puts the calculated density at 15.64 g/cm3. Its total energy is -128.52 eV for the cell shown. The total magnetic moment is 9.783 μB/f.u. The formation energy is -6.1 eV per formula unit.